# NbGeTePO

NbGeTePO after structural relaxation (GGA-PBE, the Alexandria database).

Cell: 10.5363 10.5363 3.1408 Å, 90.11 90.11 17.56°
With the nearest neighbours (Å) after each atom.
Element x y z (fractional)
Nb (0.0000, 0.0000, 0.0000)  2 O 1.98
Ge (0.1586, 0.1586, 0.4995)  2 P 2.51
Te (0.7828, 0.7828, 0.5039)  2 Ge 3.04, 4 Te 3.14-3.22
P (0.5663, 0.5663, 0.5008)  2 Ge 2.51, 4 Nb 2.64
O (0.4444, 0.4444, 0.9993)  2 Nb 1.98

Calculated values
Electronic total energy: -31.2 eV/cell
V: 105 Å³ per cell
Uncorrected formation energy: -0.596 eV per atom
Magnetization: 0.00 μB/f.u.